No. 1
Te2MoBr | PBE-GGA | relaxed

Results
ρ = 7.62 Mg/m³
DOS(E_F) = 17.65 states/eV per cell
formation energy from raw total energies = 0.759 eV/atom
polymorph energy (0 for the lowest one) = 0.843 eV per atom
electronic total energy = -0.2894 Ry per atom

The structure in CIF format:
```
data_Te2MoBr
_cell_length_a 7.2144
_cell_length_b 7.2144
_cell_length_c 7.2144
_cell_angle_alpha 90.00
_cell_angle_beta 90.00
_cell_angle_gamma 90.00
_space_group_name_H-M_alt 'F -4 3 m'
_space_group_IT_number 216
_space_group_name_Hall 'F -4 2 3'
loop_
_atom_site_label
_atom_site_fract_x
_atom_site_fract_y
_atom_site_fract_z
Te1 0.0000 0.0000 0.0000
Te2 0.2500 0.2500 0.2500
Mo1 0.2500 0.2500 0.7500
Br1 0.0000 0.0000 0.5000
```



No. 2
Pm2ErCo | PBE-GGA | relaxed

Results
ρ = 8.00 Mg/m³
DOS(E_F) = 19.51 states/eV per cell
polymorph energy (0 for the lowest one) = 0.000 eV per atom
energy of formation = -0.109 eV per atom
electronic total energy = -0.3970 Ry per atom

The structure in CIF format:
```
data_Pm2ErCo
_cell_length_a 7.0305
_cell_length_b 9.7846
_cell_length_c 6.2269
_cell_angle_alpha 90.00
_cell_angle_beta 90.00
_cell_angle_gamma 90.00
_space_group_name_H-M_alt 'P n m a'
_space_group_IT_number 62
loop_
_space_group_symop_operation_xyz
'x,y,z'
'-x,-y,-z'
'-x+1/2,-y,z+1/2'
'x+1/2,y,-z+1/2'
'x+1/2,-y+1/2,-z+1/2'
'-x+1/2,y+1/2,z+1/2'
'-x,y+1/2,-z'
'x,-y+1/2,z'
loop_
_atom_site_label
_atom_site_fract_x
_atom_site_fract_y
_atom_site_fract_z
Pm1 0.1764 0.0698 0.1760
Er1 0.0437 0.2500 0.6542
Co1 0.1166 0.7500 0.9520
```